Arrangement A

A geometry-optimized Y2MnCr structure. Source: the Alexandria database, functional PBE.

Geometry as POSCAR:
```
Y2MnCr
1.0
-1.4780 4.0520 4.1269
-4.4443 2.5784 3.0389
-0.7148 -1.8589 4.4666
Mn Y Cr
1 2 1
Direct
0.1996 0.1996 0.3005
0.7617 0.7617 0.7384
0.9864 0.9864 0.0136
0.5523 0.5523 0.4475
```

Output
space group	Imm2

Arrangement B

A geometry-optimized Y2MnCr structure. Source: the Alexandria database, functional PBE.

Geometry as POSCAR:
```
Y2MnCr
1.0
7.8120 -0.0099 -0.0059
6.9028 3.6578 -0.0059
6.9028 1.7112 3.2328
Y Cr Mn
2 1 1
Direct
0.0301 0.0301 0.0301
0.2196 0.2196 0.2196
0.4569 0.4569 0.4569
0.7935 0.7935 0.7935
```

Output
space group	R3m

Going by the computed energies, the most stable comes first: arrangement B, arrangement A.

Arrangement A

A geometry-optimized Y2MnCr structure. Source: the Alexandria database, functional PBE.

Geometry as POSCAR:
```
Y2MnCr
1.0
4.6502 0.0000 0.0000
0.0000 3.4906 0.0140
0.0000 1.7246 5.6881
Cr Y Mn
1 2 1
Direct
0.0000 0.6924 0.4905
0.0000 0.9742 0.9267
0.5000 0.2756 0.3239
0.5000 0.5578 0.7589
```

Output
space group	Amm2

Arrangement B

A geometry-optimized Y2MnCr structure. Source: the Alexandria database, functional PBE.

Geometry as POSCAR:
```
Y2MnCr
1.0
-2.0103 -3.2024 -8.8572
0.2540 -5.5538 -7.8637
-3.0315 -5.8773 -7.0010
Mn Cr Y
1 1 2
Direct
0.7500 0.7500 0.7500
0.2500 0.2500 0.2500
0.4997 0.4997 0.4997
0.0003 0.0003 0.0003
```

Output
space group	R-3m

Arrangement C

A geometry-optimized Y2MnCr structure. Source: the Alexandria database, functional PBE.

Geometry as POSCAR:
```
Y2MnCr
1.0
5.7407 -0.0022 0.0000
2.4986 5.1684 0.0000
-4.1197 -2.5831 3.0515
Cr Y Mn
1 2 1
Direct
0.5000 0.5000 0.0000
0.0000 0.0000 0.0000
0.2500 0.7500 0.5000
0.7500 0.2500 0.5000
```

Output
space group	I-4m2

Going by the computed energies, the most stable comes first: arrangement A, arrangement C, arrangement B.

Arrangement A

A geometry-optimized Y2MnCr structure. Source: the Alexandria database, functional PBE.

Geometry as POSCAR:
```
Y2MnCr
1.0
3.2143 0.0000 0.0000
0.0000 3.2143 0.0000
0.0000 0.0000 8.4099
Y Cr Mn
2 1 1
Direct
0.5000 0.5000 0.3048
0.0000 0.0000 0.9442
0.0000 0.0000 0.5675
0.5000 0.5000 0.6835
```

Output
space group	P4mm

Arrangement B

A geometry-optimized Y2MnCr structure. Source: the Alexandria database, functional PBE.

Geometry as POSCAR:
```
Y2MnCr
1.0
0.0000 3.5635 3.5635
3.5635 0.0000 3.5635
3.5635 3.5635 0.0000
Y Mn Cr
2 1 1
Direct
0.2500 0.2500 0.2500
0.7500 0.7500 0.7500
0.5000 0.5000 0.5000
0.0000 0.0000 0.0000
```

Output
space group	Fm-3m

Going by the computed energies, the most stable comes first: arrangement A, arrangement B.